a.
Entry from the Alexandria database: Sb2WBr after structural relaxation (GGA-PBEsol).

Geometry as CIF:
```
data_Sb2WBr
_chemical_formula_sum 'Sb2 W1 Br1'
_symmetry_space_group_name_H-M 'P 4/m m m'
_symmetry_Int_Tables_number 123
_symmetry_space_group_name_Hall '-P 4 2'
_cell_length_a 4.180
_cell_length_b 4.180
_cell_length_c 5.149
_cell_angle_alpha 90.00
_cell_angle_beta 90.00
_cell_angle_gamma 90.00
loop_
_atom_site_label
_atom_site_type_symbol
_atom_site_fract_x
_atom_site_fract_y
_atom_site_fract_z
Sb1 Sb 0.000 0.500 0.000
W1 W 0.000 0.000 0.500
Br1 Br 0.500 0.500 0.500
```

Results
Calculated volume in A^3/atom: 22.491
Crystal system: tetragonal

b.
Entry from the Alexandria database: Sb2WBr after structural relaxation (GGA-PBEsol).

Geometry as CIF:
```
data_Sb2WBr
_chemical_formula_sum 'Sb2 W1 Br1'
_symmetry_space_group_name_H-M 'P 4 m m'
_symmetry_Int_Tables_number 99
_cell_length_a 3.444
_cell_length_b 3.444
_cell_length_c 7.604
_cell_angle_alpha 90.00
_cell_angle_beta 90.00
_cell_angle_gamma 90.00
loop_
_symmetry_equiv_pos_as_xyz
'x,y,z'
'-y,x,z'
'-x,-y,z'
'y,-x,z'
'-x,y,z'
'y,x,z'
'x,-y,z'
'-y,-x,z'
loop_
_atom_site_label
_atom_site_type_symbol
_atom_site_fract_x
_atom_site_fract_y
_atom_site_fract_z
Sb1 Sb 0.000 0.000 0.000
Sb2 Sb 0.500 0.500 0.239
W1 W 0.000 0.000 0.410
Br1 Br 0.500 0.500 0.647
```

Results
Calculated volume in A^3/atom: 22.544
Crystal system: tetragonal

Most stable = b